(1)
First-principles (GGA+U) data for crystalline CrS2ClO at its relaxed geometry, as listed in Alexandria via LeMat-Bulk.

abc: 3.867 3.867 6.085
angles: 90.00 90.00 90.00
Last column: magnetic moment on the atom in μB.
Element x y z (fractional)
Cr (0.500, 0.500, 0.500)  4.18
S (0.000, 0.500, 0.000)  -0.16
S (0.500, 0.000, 0.000)  -0.16
O (0.000, 0.000, 0.000)  -0.09
Cl (0.000, 0.000, 0.500)  -0.07

Output
E above lowest polymorph (eV per formula unit): 0.00
Magnetic moment (Bohr magnetons per cell): 3.81
Theoretical density (Mg/m³): 3.06


(2)
First-principles (GGA+U) data for crystalline ScCr2ClO at its relaxed geometry, as listed in Alexandria via LeMat-Bulk.

abc: 4.161 5.054 4.161
angles: 90.00 90.00 90.00
Last column: magnetic moment on the atom in μB.
Element x y z (fractional)
Sc (0.000, 0.500, 0.000)  -0.62
Cr (0.000, 0.000, 0.500)  4.16
Cr (0.500, 0.000, 0.000)  4.09
O (0.000, 0.000, 0.000)  -0.07
Cl (0.500, 0.500, 0.500)  0.11

Output
Magnetic moment (Bohr magnetons per cell): 8.17
Energy (eV/atom): -6.1623
Theoretical density (Mg/m³): 3.80